This record from Alexandria describes a geometry-optimized Cs2ScNiF6 structure. The functional is GGA+U.

It has space group I4/mmm (No. 139), with a = 6.531 Å, b = 6.531 Å, c = 8.296 Å, α = 90.00°, β = 90.00° and γ = 90.00°. Symmetry generates all atoms from Cs at (0.000, 0.500, 0.250), Sc at (0.000, 0.000, 0.000), Ni at (0.000, 0.000, 0.500), F at (0.000, 0.000, 0.250) and F at (0.221, 0.221, 0.000).

Its total magnetic moment is 1.0 μB per formula unit. The value obtained for the total energy is -5.1073 eV/atom.

---

This record from Alexandria describes a geometry-optimized CsScNiF6 structure. The functional is GGA+U.

It has space group Imma (No. 74), with a = 7.463 Å, b = 7.688 Å, c = 10.687 Å, α = 90.00°, β = 90.00° and γ = 90.00°. Symmetry generates all atoms from Cs at (0.000, 0.250, 0.105), Sc at (0.000, 0.000, 0.500), Ni at (0.250, 0.250, 0.750), F at (0.000, 0.250, 0.429), F at (0.000, 0.250, 0.816) and F at (0.196, 0.059, 0.622).

Its total magnetic moment is 2.0 μB per formula unit. The value obtained for the total energy is -5.4896 eV/atom.

---

This record from Alexandria describes a geometry-optimized Cs2SrNiF6 structure. The functional is GGA+U.

It has space group Fm-3m (No. 225), with a = 8.998 Å, b = 8.998 Å, c = 8.998 Å, α = 90.00°, β = 90.00° and γ = 90.00°. Symmetry generates all atoms from Cs at (0.250, 0.250, 0.250), Sr at (0.000, 0.000, 0.000), Ni at (0.000, 0.000, 0.500) and F at (0.000, 0.000, 0.270).

Its total magnetic moment is 2.0 μB per formula unit. The value obtained for the total energy is -4.6557 eV/atom.

---

This record from Alexandria describes a geometry-optimized Cs3SrNi2F9 structure. The functional is GGA+U.

It has space group P-3m1 (No. 164), with a = 6.2273 Å, b = 6.2273 Å, c = 7.6687 Å, α = 90.00°, β = 90.00° and γ = 120.00°. Symmetry generates all atoms from Cs at (0.0000, 0.0000, 0.0000), Cs at (0.3333, 0.6667, 0.6771), Sr at (0.0000, 0.0000, 0.5000), Ni at (0.3333, 0.6667, 0.1549), F at (0.0000, 0.5000, 0.0000) and F at (0.1806, 0.3613, 0.3121).

Its total magnetic moment is 3.9 μB per formula unit. The value obtained for the total energy is -4.4957 eV/atom.

---

This record from Alexandria describes a geometry-optimized Cs2TaNiF6 structure. The functional is GGA+U.

It has space group I4/mmm (No. 139), with a = 6.001 Å, b = 6.001 Å, c = 10.246 Å, α = 90.00°, β = 90.00° and γ = 90.00°. Symmetry generates all atoms from Cs at (0.000, 0.500, 0.250), Ta at (0.000, 0.000, 0.000), Ni at (0.000, 0.000, 0.500), F at (0.000, 0.000, 0.201) and F at (0.249, 0.249, 0.500).

Its total magnetic moment is 3.0 μB per formula unit. The value obtained for the total energy is -5.0538 eV/atom.

---

This record from Alexandria describes a geometry-optimized CsTaNi2F structure. The functional is GGA+U.

It has space group P4/mmm (No. 123), with a = 4.426 Å, b = 4.426 Å, c = 5.093 Å, α = 90.00°, β = 90.00° and γ = 90.00°. Symmetry generates all atoms from Cs at (0.000, 0.000, 0.000), Ta at (0.500, 0.500, 0.000), Ni at (0.000, 0.500, 0.500) and F at (0.000, 0.000, 0.500).

Its total magnetic moment is 4.6 μB per formula unit. The value obtained for the total energy is -2.8469 eV/atom.